1.
## SbTeCl3 (GGA-PBE)

Data for a relaxed SbTeCl3 crystal.

Computed properties:
relative energy among the computed polymorphs = 0.0000 eV per atom
ΔE_f (raw) = -328 meV/atom
E_tot = -2.889 eV/atom
total magnetic moment = 3.887 Bohr magnetons per cell
ρ = 3.19 g/cm3

Cell: 7.1696 7.1793 7.2248 Å, 90.00 94.77 90.00°
Last column: nearest neighbours and their distance in Å.
Fractional coordinates of all 10 atoms:
Sb: 0.2295 0.0000 0.4717  2 Cl 2.44-2.45
Sb: 0.7705 0.5000 0.5283  2 Cl 2.44-2.45
Te: 0.2286 0.1862 0.1106  1 Sb 2.93, 2 Cl 3.02-3.09
Te: 0.7714 0.6862 0.8894  1 Sb 2.93, 2 Cl 3.02-3.09
Cl: 0.0795 0.3743 0.6235  1 Sb 2.44
Cl: 0.1508 0.8541 0.8437  1 Sb 2.98, 2 Te 3.02-3.09
Cl: 0.3989 0.7289 0.3646  1 Sb 2.45
Cl: 0.6011 0.2289 0.6354  1 Sb 2.45
Cl: 0.8492 0.3541 0.1563  1 Sb 2.98, 2 Te 3.02-3.09
Cl: 0.9205 0.8743 0.3765  1 Sb 2.44

---

2.
## Nd2BeZn12Cu3 (GGA-PBE)

Data for a relaxed Nd2BeZn12Cu3 crystal.

Computed properties:
E_tot = -2.238 eV/atom
total magnetic moment = 0.000 Bohr magnetons per cell
ρ = 6.62 g/cm3

Cell: 11.0722 11.0722 11.0722 Å, 30.99 30.99 30.99°
Last column: nearest neighbours and their distance in Å.
Fractional coordinates of all 18 atoms:
Nd: 0.1420 0.1420 0.1420  12 Zn 3.14-3.21, 3 Be 3.50
Nd: 0.8580 0.8580 0.8580  12 Zn 3.14-3.21, 3 Be 3.50
Be: 0.5000 0.5000 0.5000  6 Zn 2.44
Zn: 0.0943 0.0943 0.6547  2 Cu 2.46, 4 Zn 2.58-2.60
Zn: 0.0943 0.6547 0.0943  2 Cu 2.46, 4 Zn 2.58-2.60
Zn: 0.1262 0.6002 0.6002  1 Be 2.44, 2 Zn 2.58
Zn: 0.3453 0.9057 0.9057  2 Cu 2.46, 4 Zn 2.58-2.60
Zn: 0.3998 0.3998 0.8738  1 Be 2.44, 2 Zn 2.58
Zn: 0.3998 0.8738 0.3998  1 Be 2.44, 2 Zn 2.58
Zn: 0.6002 0.1262 0.6002  1 Be 2.44, 2 Zn 2.58
Zn: 0.6002 0.6002 0.1262  1 Be 2.44, 2 Zn 2.58
Zn: 0.6547 0.0943 0.0943  2 Cu 2.46, 4 Zn 2.58-2.60
Zn: 0.8738 0.3998 0.3998  1 Be 2.44, 2 Zn 2.58
Zn: 0.9057 0.3453 0.9057  2 Cu 2.46, 4 Zn 2.58-2.60
Zn: 0.9057 0.9057 0.3453  2 Cu 2.46, 4 Zn 2.58-2.60
Cu: 0.0000 0.5000 0.5000  4 Zn 2.46
Cu: 0.5000 0.0000 0.5000  4 Zn 2.46
Cu: 0.5000 0.5000 0.0000  4 Zn 2.46

---

3.
## Sr6PS2I3 (GGA-PBE)

Data for a relaxed Sr6PS2I3 crystal.

Computed properties:
ΔE_f (raw) = -1571 meV/atom
E_tot = -3.938 eV/atom
total magnetic moment = 0.000 Bohr magnetons per cell
ρ = 4.20 g/cm3

Cell: 7.6816 7.6816 8.1538 Å, 99.03 99.03 119.96°
Last column: nearest neighbours and their distance in Å.
Fractional coordinates of all 12 atoms:
Sr: 0.0665 0.3971 0.1998  1 P 2.97, 2 S 3.00
Sr: 0.2633 0.2633 0.7989  1 P 2.98, 2 S 3.00
Sr: 0.3971 0.0665 0.1998  1 P 2.97, 2 S 3.00
Sr: 0.6029 0.9335 0.8002  1 P 2.97, 2 S 3.00
Sr: 0.7367 0.7367 0.2011  1 P 2.98, 2 S 3.00
Sr: 0.9335 0.6029 0.8002  1 P 2.97, 2 S 3.00
P: 0.0000 0.0000 0.0000  6 Sr 2.97-2.98
S: 0.3336 0.6664 0.0000  6 Sr 3.00
S: 0.6664 0.3336 0.0000  6 Sr 3.00
I: 0.1681 0.8319 0.5000  6 Sr 3.45-3.46
I: 0.5000 0.5000 0.5000  6 Sr 3.45-3.47
I: 0.8319 0.1681 0.5000  6 Sr 3.45-3.46

---

4.
## Nd9TlSn2 (GGA-PBE)

Data for a relaxed Nd9TlSn2 crystal.

Computed properties:
E_tot = -4.815 eV/atom
total magnetic moment = 0.000 Bohr magnetons per cell
ρ = 7.86 g/cm3

Cell: 4.9717 4.9717 14.8800 Å, 90.00 90.00 90.00°
Last column: nearest neighbours and their distance in Å.
Fractional coordinates of all 12 atoms:
Nd: 0.0000 0.0000 0.0000  4 Tl 3.52, 8 Nd 3.55
Nd: 0.0000 0.0000 0.3354  8 Nd 3.49-3.50, 4 Sn 3.52
Nd: 0.0000 0.0000 0.6646  8 Nd 3.49-3.50, 4 Sn 3.52
Nd: 0.0000 0.5000 0.1701  2 Sn 3.47, 8 Nd 3.50-3.55, 2 Tl 3.55
Nd: 0.0000 0.5000 0.5000  8 Nd 3.49-3.52, 4 Sn 3.51
Nd: 0.0000 0.5000 0.8299  2 Sn 3.47, 8 Nd 3.50-3.55, 2 Tl 3.55
Nd: 0.5000 0.0000 0.1701  2 Sn 3.47, 8 Nd 3.50-3.55, 2 Tl 3.55
Nd: 0.5000 0.0000 0.5000  8 Nd 3.49-3.52, 4 Sn 3.51
Nd: 0.5000 0.0000 0.8299  2 Sn 3.47, 8 Nd 3.50-3.55, 2 Tl 3.55
Tl: 0.5000 0.5000 0.0000  12 Nd 3.52-3.55
Sn: 0.5000 0.5000 0.3331  12 Nd 3.47-3.52
Sn: 0.5000 0.5000 0.6669  12 Nd 3.47-3.52

---

5.
## DyEr2Ru3 (GGA-PBE)

Data for a relaxed DyEr2Ru3 crystal.

Computed properties:
relative energy among the computed polymorphs = 0.0000 eV per atom
E_tot = -7.289 eV/atom
total magnetic moment = 0.000 Bohr magnetons per cell
ρ = 11.48 g/cm3

Cell: 7.5472 7.5472 3.3896 Å, 90.00 90.00 143.16°
Last column: nearest neighbours and their distance in Å.
Fractional coordinates of all 6 atoms:
Dy: 0.0000 0.0000 0.0000  8 Ru 2.93-2.94
Er: 0.3328 0.6672 0.0000  8 Ru 2.91-2.93
Er: 0.6672 0.3328 0.0000  8 Ru 2.91-2.93
Ru: 0.1674 0.8326 0.5000  6 Er 2.91-2.93, 2 Dy 2.94
Ru: 0.5000 0.5000 0.5000  4 Dy 2.93, 4 Er 2.93
Ru: 0.8326 0.1674 0.5000  6 Er 2.91-2.93, 2 Dy 2.94

---

6.
## Tm2Sc (GGA-PBE)

Data for a relaxed Tm2Sc crystal.

Computed properties:
relative energy among the computed polymorphs = 0.1452 eV per atom
E_tot = -4.901 eV/atom
total magnetic moment = 0.000 Bohr magnetons per cell
ρ = 7.24 g/cm3

Cell: 5.7080 5.7080 5.7080 Å, 145.76 121.57 69.50°
Last column: nearest neighbours and their distance in Å.
Fractional coordinates of all 3 atoms:
Tm: 0.1885 0.1885 0.0000  4 Sc 3.30-3.37, 7 Tm 3.36-3.54
Tm: 0.8115 0.8115 0.0000  4 Sc 3.30-3.37, 7 Tm 3.36-3.54
Sc: 0.5000 0.0000 0.5000  8 Tm 3.30-3.37, 2 Sc 3.36

---

7.
## AcTlI (GGA-PBE)

Data for a relaxed AcTlI crystal.

Computed properties:
ΔE_f (raw) = -903 meV/atom
E_tot = -3.578 eV/atom
total magnetic moment = 0.000 Bohr magnetons per cell
ρ = 7.24 g/cm3

Cell: 4.8908 4.8908 12.3598 Å, 91.26 91.26 60.00°
Last column: nearest neighbours and their distance in Å.
Fractional coordinates of all 6 atoms:
Ac: 0.0069 0.0069 0.1847  3 Tl 3.31, 3 I 3.45-3.46
Ac: 0.9931 0.9931 0.8153  3 Tl 3.31, 3 I 3.45-3.46
Tl: 0.3350 0.3350 0.0451  3 Tl 3.04, 3 Ac 3.31
Tl: 0.6650 0.6650 0.9549  3 Tl 3.04, 3 Ac 3.31
I: 0.3206 0.3206 0.6543  3 Ac 3.45-3.46
I: 0.6794 0.6794 0.3457  3 Ac 3.45-3.46

---

8.
## MgTePd2N (GGA-PBE)

Data for a relaxed MgTePd2N crystal.

Computed properties:
relative energy among the computed polymorphs = 0.0000 eV per atom
ΔE_f (raw) = -91 meV/atom
E_tot = -4.781 eV/atom
total magnetic moment = 0.000 Bohr magnetons per cell
ρ = 7.79 g/cm3

Cell: 4.4221 4.4221 4.1271 Å, 90.00 90.00 90.00°
Last column: nearest neighbours and their distance in Å.
Fractional coordinates of all 5 atoms:
Mg: 0.0000 0.0000 0.0000  2 N 2.06
Te: 0.5000 0.5000 0.0000  8 Pd 3.02, 4 Mg 3.13
Pd: 0.0000 0.5000 0.5000  2 N 2.21
Pd: 0.5000 0.0000 0.5000  2 N 2.21
N: 0.0000 0.0000 0.5000  2 Mg 2.06, 4 Pd 2.21

---

9.
## RbB3Se (GGA-PBE)

Data for a relaxed RbB3Se crystal.

Computed properties:
relative energy among the computed polymorphs = 0.0000 eV per atom
ΔE_f (raw) = 2037 meV/atom
E_tot = -2.860 eV/atom
total magnetic moment = 0.000 Bohr magnetons per cell
ρ = 3.55 g/cm3

Cell: 4.5139 4.5139 4.5139 Å, 90.00 90.00 90.00°
Last column: nearest neighbours and their distance in Å.
Fractional coordinates of all 5 atoms:
Rb: 0.0000 0.0000 0.0000  12 B 3.19
B: 0.0000 0.5000 0.5000  2 Se 2.26
B: 0.5000 0.0000 0.5000  2 Se 2.26
B: 0.5000 0.5000 0.0000  2 Se 2.26
Se: 0.5000 0.5000 0.5000  6 B 2.26

---

10.
## Cu2MoS (GGA-PBE)

Data for a relaxed Cu2MoS crystal.

Computed properties:
ΔE_f (raw) = 303 meV/atom
E_tot = -5.484 eV/atom
total magnetic moment = 0.000 Bohr magnetons per cell
ρ = 7.46 g/cm3

Cell: 5.4488 5.4488 5.4488 Å, 100.71 100.71 128.94°
Last column: nearest neighbours and their distance in Å.
Fractional coordinates of all 8 atoms:
Cu: 0.0854 0.6250 0.9604  2 S 2.35, 2 Cu 2.41
Cu: 0.3750 0.3354 0.4604  2 S 2.35, 2 Cu 2.41
Cu: 0.6646 0.1250 0.0396  2 S 2.35, 2 Cu 2.41
Cu: 0.8750 0.9146 0.5396  2 S 2.35, 2 Cu 2.41
Mo: 0.2500 0.7500 0.5000  2 S 2.35
Mo: 0.5000 0.5000 0.0000  2 S 2.35
S: 0.0000 0.0000 0.0000  4 Cu 2.35, 2 Mo 2.35
S: 0.7500 0.2500 0.5000  4 Cu 2.35, 2 Mo 2.35

---

11.
## MnSnPS (GGA-PBE)

Data for a relaxed MnSnPS crystal.

Computed properties:
relative energy among the computed polymorphs = 0.2650 eV per atom
ΔE_f (raw) = 8 meV/atom
E_tot = -5.670 eV/atom
total magnetic moment = 0.000 Bohr magnetons per cell
ρ = 5.66 g/cm3

Cell: 4.7757 4.7757 5.5069 Å, 109.25 109.25 36.13°
Last column: nearest neighbours and their distance in Å.
Fractional coordinates of all 4 atoms:
Mn: 0.0000 0.0000 0.0000  2 S 2.24, 2 P 2.37
Sn: 0.5694 0.5694 0.4359  1 S 2.59, 2 Mn 2.70, 1 P 2.73
P: 0.6954 0.6954 0.9630  2 Mn 2.37
S: 0.3780 0.3780 0.6918  2 Mn 2.24

---

12.
## LaScCu2S4 (GGA-PBE)

Data for a relaxed LaScCu2S4 crystal.

Computed properties:
ΔE_f (raw) = -1236 meV/atom
E_tot = -5.731 eV/atom
total magnetic moment = 0.000 Bohr magnetons per cell
ρ = 4.39 g/cm3

Cell: 6.0359 6.0359 6.0359 Å, 116.67 111.25 100.88°
Last column: nearest neighbours and their distance in Å.
Fractional coordinates of all 8 atoms:
La: 0.0000 0.0000 0.0000  8 S 3.04-3.11
Sc: 0.5000 0.5000 0.0000  4 S 2.46
Cu: 0.3324 0.8324 0.5000  2 S 2.23
Cu: 0.6676 0.1676 0.5000  2 S 2.23
S: 0.1087 0.0857 0.5712  1 Cu 2.23, 1 Sc 2.46
S: 0.4855 0.9143 0.0230  1 Cu 2.23, 1 Sc 2.46
S: 0.5145 0.5375 0.4288  1 Cu 2.23, 1 Sc 2.46
S: 0.8913 0.4625 0.9770  1 Cu 2.23, 1 Sc 2.46

---

13.
## RbHg3Pt (GGA-PBE)

Data for a relaxed RbHg3Pt crystal.

Computed properties:
relative energy among the computed polymorphs = 0.5126 eV per atom
E_tot = -1.352 eV/atom
total magnetic moment = 0.000 Bohr magnetons per cell
ρ = 5.73 g/cm3

Cell: 10.6327 10.6327 6.5523 Å, 90.00 90.00 136.39°
Last column: nearest neighbours and their distance in Å.
Fractional coordinates of all 10 atoms:
Rb: 0.1913 0.8087 0.7500  1 Pt 3.11
Rb: 0.8087 0.1913 0.2500  1 Pt 3.11
Hg: 0.0000 0.0000 0.0000  6 Hg 3.22-3.28
Hg: 0.0000 0.0000 0.5000  6 Hg 3.22-3.28
Hg: 0.0618 0.3021 0.7500  1 Pt 2.59, 1 Hg 2.87
Hg: 0.3021 0.0618 0.2500  1 Pt 2.59, 1 Hg 2.87
Hg: 0.6979 0.9382 0.7500  1 Pt 2.59, 1 Hg 2.87
Hg: 0.9382 0.6979 0.2500  1 Pt 2.59, 1 Hg 2.87
Pt: 0.3489 0.6511 0.7500  2 Hg 2.59
Pt: 0.6511 0.3489 0.2500  2 Hg 2.59

---

14.
## LaGeIr (GGA-PBE)

Data for a relaxed LaGeIr crystal.

Computed properties:
E_tot = -6.930 eV/atom
total magnetic moment = 0.000 Bohr magnetons per cell
ρ = 9.85 g/cm3

Cell: 4.3243 4.3243 4.2018 Å, 90.00 90.00 120.00°
Last column: nearest neighbours and their distance in Å.
Fractional coordinates of all 3 atoms:
La: 0.0000 0.0000 0.0000  6 Ge 3.26, 6 Ir 3.26
Ge: 0.3333 0.6667 0.5000  3 Ir 2.50
Ir: 0.6667 0.3333 0.5000  3 Ge 2.50

---

15.
## VZnGaAu (GGA-PBE)

Data for a relaxed VZnGaAu crystal.

Computed properties:
E_tot = -4.165 eV/atom
total magnetic moment = 2.337 Bohr magnetons per cell
ρ = 10.02 g/cm3

Cell: 4.4778 4.4778 4.4778 Å, 60.00 60.00 60.00°
Last column: nearest neighbours and their distance in Å.
Fractional coordinates of all 4 atoms:
V: 0.0000 0.0000 0.0000  4 Au 2.74, 4 Ga 2.74
Zn: 0.5000 0.5000 0.5000  4 Ga 2.74, 4 Au 2.74
Ga: 0.7500 0.7500 0.7500  4 V 2.74, 4 Zn 2.74
Au: 0.2500 0.2500 0.2500  4 Zn 2.74, 4 V 2.74

---

16.
## HfMg2NbRe (GGA-PBE)

Data for a relaxed HfMg2NbRe crystal.

Computed properties:
E_tot = -5.007 eV/atom
total magnetic moment = 3.199 Bohr magnetons per cell
ρ = 6.62 g/cm3

Cell: 5.1828 5.1828 4.7304 Å, 90.00 90.00 90.00°
Last column: nearest neighbours and their distance in Å.
Fractional coordinates of all 5 atoms:
Hf: 0.0000 0.0000 0.0000  2 Nb 2.37, 4 Mg 2.59
Mg: 0.0000 0.5000 0.0000  2 Hf 2.59
Mg: 0.5000 0.0000 0.0000  2 Hf 2.59
Nb: 0.0000 0.0000 0.5000  2 Hf 2.37
Re: 0.5000 0.5000 0.5000  8 Mg 3.51, 4 Nb 3.66

---

17.
## Ba2Ca3Pd4 (GGA-PBE)

Data for a relaxed Ba2Ca3Pd4 crystal.

Computed properties:
E_tot = -4.008 eV/atom
total magnetic moment = 0.000 Bohr magnetons per cell
ρ = 5.42 g/cm3

Cell: 8.1295 8.1543 8.0066 Å, 90.00 108.76 90.00°
Last column: nearest neighbours and their distance in Å.
Fractional coordinates of all 18 atoms:
Ba: 0.1926 0.1745 0.0727  6 Pd 3.32-3.40
Ba: 0.1926 0.3255 0.5727  6 Pd 3.32-3.40
Ba: 0.8074 0.6745 0.4273  6 Pd 3.32-3.40
Ba: 0.8074 0.8255 0.9273  6 Pd 3.32-3.40
Ca: 0.2486 0.6701 0.2512  6 Pd 3.03-3.12
Ca: 0.2486 0.8299 0.7512  6 Pd 3.03-3.12
Ca: 0.5000 0.0000 0.5000  6 Pd 3.17-3.23
Ca: 0.5000 0.5000 0.0000  6 Pd 3.17-3.23
Ca: 0.7514 0.1701 0.2488  6 Pd 3.03-3.12
Ca: 0.7514 0.3299 0.7488  6 Pd 3.03-3.12
Pd: 0.0896 0.5388 0.8789  1 Pd 2.85, 4 Ca 3.03-3.18
Pd: 0.0896 0.9612 0.3789  1 Pd 2.85, 4 Ca 3.03-3.18
Pd: 0.4974 0.6233 0.6235  1 Pd 2.83, 3 Ca 3.04-3.11
Pd: 0.4974 0.8767 0.1235  1 Pd 2.83, 3 Ca 3.04-3.11
Pd: 0.5026 0.1233 0.8765  1 Pd 2.83, 3 Ca 3.04-3.11
Pd: 0.5026 0.3767 0.3765  1 Pd 2.83, 3 Ca 3.04-3.11
Pd: 0.9104 0.0388 0.6211  1 Pd 2.85, 4 Ca 3.03-3.18
Pd: 0.9104 0.4612 0.1211  1 Pd 2.85, 4 Ca 3.03-3.18

---

18.
## In2ReHg (GGA-PBE)

Data for a relaxed In2ReHg crystal.

Computed properties:
E_tot = -3.637 eV/atom
total magnetic moment = 0.000 Bohr magnetons per cell
ρ = 12.53 g/cm3

Cell: 4.8698 4.8698 4.8698 Å, 60.00 60.00 60.00°
Last column: nearest neighbours and their distance in Å.
Fractional coordinates of all 4 atoms:
In: 0.0000 0.0000 0.0000  4 Re 2.98, 4 In 2.98
In: 0.2500 0.2500 0.2500  4 Hg 2.98, 4 In 2.98
Re: 0.7500 0.7500 0.7500  4 Hg 2.98, 4 In 2.98
Hg: 0.5000 0.5000 0.5000  4 In 2.98, 4 Re 2.98

---

19.
## CaLa2CoI (GGA-PBE)

Data for a relaxed CaLa2CoI crystal.

Computed properties:
ΔE_f (raw) = -351 meV/atom
E_tot = -4.453 eV/atom
total magnetic moment = 0.000 Bohr magnetons per cell
ρ = 5.16 g/cm3

Cell: 5.2124 5.2124 5.9709 Å, 90.00 90.00 90.00°
Last column: nearest neighbours and their distance in Å.
Fractional coordinates of all 5 atoms:
Ca: 0.0000 0.0000 0.0000  2 Co 2.99
La: 0.0000 0.5000 0.5000  2 Co 2.61
La: 0.5000 0.0000 0.5000  2 Co 2.61
Co: 0.0000 0.0000 0.5000  4 La 2.61
I: 0.5000 0.5000 0.0000  4 Ca 3.69, 8 La 3.96

---

20.
## BaInRh2 (GGA-PBE)

Data for a relaxed BaInRh2 crystal.

Computed properties:
E_tot = -4.799 eV/atom
total magnetic moment = 0.007 Bohr magnetons per cell
ρ = 8.70 g/cm3

Cell: 6.2051 6.2051 6.2051 Å, 150.02 132.49 57.21°
Last column: nearest neighbours and their distance in Å.
Fractional coordinates of all 4 atoms:
Ba: 0.0000 0.0000 0.0000  4 Rh 2.97, 2 Ba 3.21
In: 0.7111 0.2111 0.5000  6 Rh 2.93-3.06, 2 In 3.21
Rh: 0.2775 0.7775 0.5000  2 Rh 2.79, 4 In 3.06
Rh: 0.4865 0.4865 0.0000  2 Rh 2.79, 2 In 2.93, 4 Ba 2.97